## Ac2La7Er (GGA-PBE)

Data for Ac2La7Er after structural relaxation.

Computed properties:
space-group type	Cmmm, No. 65
E above lowest polymorph	0	meV/atom
calculated formation energy	130	meV per atom

a b c (Å): 15.5290 15.5290 3.6306
angles (deg): 90.00 90.00 154.16
With the nearest neighbours (Å) after each atom.
Atoms (fractional coordinates):
Ac 0.2057 0.7943 0.0000  2 Ac 3.63, 8 La 3.79-3.97
Ac 0.7943 0.2057 0.0000  2 Ac 3.63, 8 La 3.79-3.97
La 0.0000 0.0000 0.0000  6 La 3.42-3.63
La 0.1669 0.3581 0.0000  7 La 3.30-3.65
La 0.3155 0.6845 0.5000  6 La 3.63-3.64, 6 Ac 3.79-3.97
La 0.3581 0.1669 0.0000  7 La 3.30-3.65
La 0.6419 0.8331 0.0000  7 La 3.30-3.65
La 0.6845 0.3155 0.5000  6 La 3.63-3.64, 6 Ac 3.79-3.97
La 0.8331 0.6419 0.0000  7 La 3.30-3.65
Er 0.5000 0.5000 0.5000  2 Er 3.63, 12 La 3.79-3.92


## PmNd4HoTm2 (GGA-PBE)

Data for PmNd4HoTm2 after structural relaxation.

Computed properties:
space-group type	Pmmm, No. 47
calculated formation energy	16	meV per atom

a b c (Å): 5.1180 5.1417 10.0882
angles (deg): 90.00 90.00 90.00
With the nearest neighbours (Å) after each atom.
Atoms (fractional coordinates):
Pm 0.0000 0.0000 0.0000  8 Nd 3.61, 4 Tm 3.63
Nd 0.0000 0.5000 0.2516  2 Ho 3.58, 4 Tm 3.59-3.60, 2 Pm 3.61, 4 Nd 3.63
Nd 0.0000 0.5000 0.7484  2 Ho 3.58, 4 Tm 3.59-3.60, 2 Pm 3.61, 4 Nd 3.63
Nd 0.5000 0.0000 0.2523  4 Tm 3.58-3.62, 2 Ho 3.59, 2 Pm 3.61, 4 Nd 3.63
Nd 0.5000 0.0000 0.7477  4 Tm 3.58-3.62, 2 Ho 3.59, 2 Pm 3.61, 4 Nd 3.63
Ho 0.5000 0.5000 0.5000  8 Nd 3.58-3.59, 4 Tm 3.63
Tm 0.0000 0.0000 0.5000  8 Nd 3.58-3.59, 4 Ho 3.63
Tm 0.5000 0.5000 0.0000  8 Nd 3.60-3.62, 4 Pm 3.63


## TcSbSeS2 (GGA-PBE)

Data for TcSbSeS2 after structural relaxation.

Computed properties:
space-group type	P4/mmm, No. 123
uncorrected formation energy	202	meV/atom

a b c (Å): 4.5166 4.5166 5.3270
angles (deg): 90.00 90.00 90.00
With the nearest neighbours (Å) after each atom.
Atoms (fractional coordinates):
Tc 0.0000 0.0000 0.0000  4 S 2.26
Sb 0.5000 0.5000 0.5000  4 Se 3.19, 8 S 3.49
Se 0.0000 0.0000 0.5000  2 Tc 2.66
S 0.0000 0.5000 0.0000  2 Tc 2.26
S 0.5000 0.0000 0.0000  2 Tc 2.26


## HgGe (GGA-PBE)

Data for HgGe after structural relaxation.

Computed properties:
space-group type	P2_1/m, No. 11
E above lowest polymorph	0	meV/atom
calculated formation energy	150	meV per atom

a b c (Å): 5.1765 4.0745 5.5098
angles (deg): 90.00 117.79 90.00
With the nearest neighbours (Å) after each atom.
Atoms (fractional coordinates):
Hg 0.1588 0.2500 0.3208  2 Ge 2.71-2.72
Hg 0.8412 0.7500 0.6792  2 Ge 2.71-2.72
Ge 0.4248 0.7500 0.8474  2 Ge 2.52, 2 Hg 2.71-2.72
Ge 0.5752 0.2500 0.1526  2 Ge 2.52, 2 Hg 2.71-2.72


## LuCdGa2 (GGA-PBE)

Data for LuCdGa2 after structural relaxation.

Computed properties:
space-group type	Fm-3m, No. 225
E above lowest polymorph	145	meV/atom
calculated formation energy	-236	meV per atom

a b c (Å): 6.9337 6.9337 6.9337
angles (deg): 90.00 90.00 90.00
With the nearest neighbours (Å) after each atom.
Atoms (fractional coordinates):
Lu 0.0000 0.0000 0.0000  8 Ga 3.00
Lu 0.0000 0.5000 0.5000  8 Ga 3.00
Lu 0.5000 0.0000 0.5000  8 Ga 3.00
Lu 0.5000 0.5000 0.0000  8 Ga 3.00
Cd 0.0000 0.0000 0.5000  8 Ga 3.00
Cd 0.0000 0.5000 0.0000  8 Ga 3.00
Cd 0.5000 0.0000 0.0000  8 Ga 3.00
Cd 0.5000 0.5000 0.5000  8 Ga 3.00
Ga 0.2500 0.2500 0.2500  4 Cd 3.00, 4 Lu 3.00
Ga 0.2500 0.2500 0.7500  4 Cd 3.00, 4 Lu 3.00
Ga 0.2500 0.7500 0.2500  4 Cd 3.00, 4 Lu 3.00
Ga 0.2500 0.7500 0.7500  4 Cd 3.00, 4 Lu 3.00
Ga 0.7500 0.2500 0.2500  4 Cd 3.00, 4 Lu 3.00
Ga 0.7500 0.2500 0.7500  4 Cd 3.00, 4 Lu 3.00
Ga 0.7500 0.7500 0.2500  4 Cd 3.00, 4 Lu 3.00
Ga 0.7500 0.7500 0.7500  4 Cd 3.00, 4 Lu 3.00


## KPuSe3 (GGA-PBE)

Data for KPuSe3 after structural relaxation.

Computed properties:
space-group type	C2/c, No. 15
E above lowest polymorph	97	meV/atom
uncorrected formation energy	-1003	meV/atom

a b c (Å): 9.8534 9.8534 7.2934
angles (deg): 94.70 94.70 89.61
With the nearest neighbours (Å) after each atom.
Atoms (fractional coordinates):
K 0.1103 0.2930 0.3237  5 Se 3.24-3.47
K 0.2930 0.1103 0.8237  5 Se 3.24-3.47
K 0.7070 0.8897 0.1763  5 Se 3.24-3.47
K 0.8897 0.7070 0.6763  5 Se 3.24-3.47
Pu 0.2719 0.7281 0.2500  6 Se 2.62-2.91
Pu 0.4254 0.5746 0.7500  6 Se 2.76-2.85
Pu 0.5746 0.4254 0.2500  6 Se 2.76-2.85
Pu 0.7281 0.2719 0.7500  6 Se 2.62-2.91
Se 0.0171 0.7532 0.1230  1 Pu 2.62
Se 0.1809 0.6037 0.5430  2 Pu 2.76
Se 0.2468 0.9829 0.3770  1 Pu 2.62
Se 0.3160 0.4640 0.0551  3 Pu 2.85-2.91
Se 0.3963 0.8191 0.9570  2 Pu 2.76
Se 0.4640 0.3160 0.5551  3 Pu 2.85-2.91
Se 0.5360 0.6840 0.4449  3 Pu 2.85-2.91
Se 0.6037 0.1809 0.0430  2 Pu 2.76
Se 0.6840 0.5360 0.9449  3 Pu 2.85-2.91
Se 0.7532 0.0171 0.6230  1 Pu 2.62
Se 0.8191 0.3963 0.4570  2 Pu 2.76
Se 0.9829 0.2468 0.8770  1 Pu 2.62


What is the formula in the first record? Ac2La7Er